1.
# TaTe2WI

TaTe2WI at its PBEsol-relaxed geometry (meta-GGA SCAN, the Alexandria database).

Unit cell a=5.1785 b=5.1785 c=5.3042 alpha=90.00 beta=90.00 gamma=90.00
Space group P4/mmm (No. 123)
Inequivalent atoms, fractional coordinates:
Ta: 0.0000 0.0000 0.0000 [1 per cell]
Te: 0.0000 0.5000 0.5000 [2 per cell]
W: 0.5000 0.5000 0.5000 [1 per cell]
I: 0.5000 0.5000 0.0000 [1 per cell]

## Properties
Formation energy from raw total energies ... 1.58 eV per atom


2.
# TaWI3

TaWI3 at its PBEsol-relaxed geometry (meta-GGA SCAN, the Alexandria database).

Unit cell a=5.4287 b=5.4287 c=5.4287 alpha=90.00 beta=90.00 gamma=90.00
Space group Pm-3m (No. 221)
Inequivalent atoms, fractional coordinates:
Ta: 0.0000 0.0000 0.0000 [1 per cell]
W: 0.5000 0.5000 0.5000 [1 per cell]
I: 0.0000 0.0000 0.5000 [3 per cell]

## Properties
Formation energy from raw total energies ... 1.64 eV per atom